Below is a relaxed VSnF3 crystal, with properties calculated at the PBE with a Hubbard U level.

a = 4.2581 Å, b = 4.2581 Å, c = 4.2581 Å
α = 90.00°, β = 90.00°, γ = 90.00°
Space group Pm-3m (No. 221)
Inequivalent atoms, fractional coordinates:
V (0.0000, 0.0000, 0.0000) (multiplicity 1)
Sn (0.5000, 0.5000, 0.5000) (multiplicity 1)
F (0.0000, 0.0000, 0.5000) (multiplicity 3)

Computed properties:
**Magnetization**: 3.0 μB/cell
**Total energy**: -5.34 eV per atom
**ρ**: 4.9 g/cm³
**Distance to the lowest polymorph of the same formula**: 0 meV/atom